Entry 1:
This record from the Open Quantum Materials Database describes NaYMoOs after structural relaxation. The functional is PBE.

Cell lengths 6.673, 6.673, 6.673 Å; angles 90.00, 90.00, 90.00 degrees
Sites, in units of the cell vectors:
Na 0.000 0.000 0.000
Na 0.000 0.500 0.500
Na 0.500 0.000 0.500
Na 0.500 0.500 0.000
Y 0.250 0.250 0.250
Y 0.250 0.750 0.750
Y 0.750 0.250 0.750
Y 0.750 0.750 0.250
Mo 0.250 0.250 0.750
Mo 0.250 0.750 0.250
Mo 0.750 0.250 0.250
Mo 0.750 0.750 0.750
Os 0.000 0.000 0.500
Os 0.000 0.500 0.000
Os 0.500 0.000 0.000
Os 0.500 0.500 0.500

Calculated values
Final energy = -6.937 eV per atom
Theoretical density = 8.900 g/cm3
Space-group type = No. 216

Entry 2:
This record from the Open Quantum Materials Database describes NaMo3P5 after structural relaxation. The functional is PBE.

Cell lengths 5.290, 5.290, 7.578 Å; angles 90.00, 90.00, 120.00 degrees
Sites, in units of the cell vectors:
Na 0.000 0.000 0.000
Mo 0.000 0.500 0.500
Mo 0.500 0.000 0.500
Mo 0.500 0.500 0.500
P 0.000 0.000 0.500
P 0.333 0.667 0.235
P 0.333 0.667 0.765
P 0.667 0.333 0.235
P 0.667 0.333 0.765

Calculated values
Final energy = -6.736 eV per atom
Theoretical density = 4.210 g/cm3
Space-group type = No. 191

Entry 3:
This record from the Open Quantum Materials Database describes NaMo3Pb5 after structural relaxation. The functional is PBE.

Cell lengths 5.615, 5.615, 9.005 Å; angles 90.00, 90.00, 120.00 degrees
Sites, in units of the cell vectors:
Na 0.000 0.000 0.000
Mo 0.000 0.500 0.500
Mo 0.500 0.000 0.500
Mo 0.500 0.500 0.500
Pb 0.000 0.000 0.500
Pb 0.333 0.667 0.216
Pb 0.333 0.667 0.784
Pb 0.667 0.333 0.216
Pb 0.667 0.333 0.784

Calculated values
Final energy = -5.535 eV per atom
Theoretical density = 9.097 g/cm3
Space-group type = No. 191

- Which of these has the highest theoretical density?
  NaMo3Pb5

- Which of these has the lowest final energy?
  NaYMoOs

- Number 3 is which compound?
  NaMo3Pb5

- Which formula does entry 3 have?
  NaMo3Pb5